# ZnMoBr2

Crystalline ZnMoBr2 at its relaxed geometry (GGA-PBE, Alexandria).

Cell: 5.0426 5.0426 3.4750 Å, 90.00 90.00 98.09°
Last column: magnetic moment on the atom in μB.
Element x y z (fractional)
Br 0.0000 0.0000 0.0000  0.01
Br 0.5000 0.5000 0.0000  0.01
Mo 0.5000 0.0000 0.5000  3.01
Zn 0.0000 0.5000 0.5000  -0.05

Properties
ΔE_f (raw)	698	meV per atom


# In2MoPt

Crystalline In2MoPt at its relaxed geometry (GGA-PBE, Alexandria).

Cell: 2.9839 3.7351 6.5239 Å, 90.00 90.00 90.00°
Element x y z (fractional)
In 0.0000 0.0000 0.9957
In 0.0000 0.0000 0.5043
Mo 0.5000 0.5000 0.2500
Pt 0.5000 0.5000 0.7500


# PmNd2Ho2

Crystalline PmNd2Ho2 at its relaxed geometry (GGA-PBE, Alexandria).

Cell: 6.4556 6.4556 11.7027 Å, 96.32 96.32 126.94°
Element x y z (fractional)
Pm 0.7500 0.2500 0.5000
Pm 0.5000 0.5000 0.0000
Nd 0.4118 0.5882 0.5000
Nd 0.1618 0.8382 0.0000
Nd 0.0882 0.9118 0.5000
Nd 0.8382 0.1618 0.0000
Ho 0.1250 0.3750 0.7500
Ho 0.6250 0.3750 0.2500
Ho 0.6250 0.3750 0.7500
Ho 0.6250 0.8750 0.2500


Quick rundown of relative energy among the computed polymorphs, same order as above: 720.1, 82.8, 478.6 meV per atom